Entry from Alexandria: a relaxed CrCoAg2Sn crystal (GGA-PBE).

Output
V: 27.138 Å³/atom
formation enthalpy at 0 K: 1.3990 eV per atom
DOS at the Fermi energy: 1.0657 states/eV/atom

Unit cell a=5.144 b=5.144 c=5.129 alpha=90.00 beta=90.00 gamma=90.00
Atoms (fractional coordinates):
Cr (0.000, 0.000, 0.000)
Co (0.500, 0.500, 0.000)
Ag (0.000, 0.500, 0.500)
Ag (0.500, 0.000, 0.500)
Sn (0.000, 0.000, 0.500)